[1]
# Pr5Nd2DyEr

A geometry-optimized Pr5Nd2DyEr structure (PBE-GGA, Alexandria).

## Properties
Calculated formation energy: 0.274 eV/atom
SG: I4/mcm

abc: 10.4783 10.4783 10.4783
angles: 131.21 131.21 71.48
Sites, in units of the cell vectors:
Pr 0.0000 0.0000 0.0000
Pr 0.0751 0.5751 0.9379
Pr 0.1372 0.0751 0.5000
Pr 0.3628 0.8628 0.9379
Pr 0.4249 0.3628 0.5000
Pr 0.5000 0.5000 0.0000
Pr 0.5751 0.6372 0.5000
Pr 0.6372 0.1372 0.0621
Pr 0.8628 0.9249 0.5000
Pr 0.9249 0.4249 0.0621
Nd 0.1222 0.3778 0.5000
Nd 0.3778 0.8778 0.2556
Nd 0.6222 0.1222 0.7444
Nd 0.8778 0.6222 0.5000
Dy 0.2500 0.2500 0.0000
Dy 0.7500 0.7500 0.0000
Er 0.2500 0.7500 0.5000
Er 0.7500 0.2500 0.5000



[2]
# Nd2TeOF

A geometry-optimized Nd2TeOF structure (PBE-GGA, Alexandria).

## Properties
Raw formation energy: -2713 meV per atom
SG: I-4m2

abc: 4.0986 4.0986 12.5582
angles: 90.00 90.00 90.00
Sites, in units of the cell vectors:
Nd 0.0000 0.0000 0.1460
Nd 0.0000 0.0000 0.8540
Nd 0.5000 0.5000 0.3540
Nd 0.5000 0.5000 0.6460
Te 0.0000 0.0000 0.5000
Te 0.5000 0.5000 0.0000
O 0.0000 0.5000 0.2500
O 0.5000 0.0000 0.7500
F 0.0000 0.5000 0.7500
F 0.5000 0.0000 0.2500



[3]
# Nb2NiRh2

A geometry-optimized Nb2NiRh2 structure (PBE-GGA, Alexandria).

## Properties
Calculated formation energy: -0.147 eV/atom
SG: P4/mbm

abc: 7.2643 7.2643 3.0761
angles: 90.00 90.00 90.00
Sites, in units of the cell vectors:
Nb 0.1703 0.3297 0.0000
Nb 0.3297 0.8297 0.0000
Nb 0.6703 0.1703 0.0000
Nb 0.8297 0.6703 0.0000
Ni 0.0000 0.0000 0.5000
Ni 0.5000 0.5000 0.5000
Rh 0.1343 0.6343 0.5000
Rh 0.3657 0.1343 0.5000
Rh 0.6343 0.8657 0.5000
Rh 0.8657 0.3657 0.5000



[4]
# CaAcRh

A geometry-optimized CaAcRh structure (PBE-GGA, Alexandria).

## Properties
Calculated formation energy: -0.376 eV/atom
E above lowest polymorph: 103 meV per atom
SG: I4mm

abc: 3.6565 3.6565 13.6601
angles: 90.00 90.00 90.00
Sites, in units of the cell vectors:
Ca 0.0000 0.0000 0.0000
Ca 0.5000 0.5000 0.5000
Ac 0.0000 0.0000 0.2513
Ac 0.5000 0.5000 0.7513
Rh 0.0000 0.0000 0.6311
Rh 0.5000 0.5000 0.1311



[5]
# LaSc5

A geometry-optimized LaSc5 structure (PBE-GGA, Alexandria).

## Properties
Calculated formation energy: 0.048 eV/atom
E above lowest polymorph: 3 meV per atom
SG: R32

abc: 6.2938 6.2938 6.2938
angles: 55.52 55.52 55.52
Sites, in units of the cell vectors:
La 0.0000 0.0000 0.0000
Sc 0.1722 0.8278 0.5000
Sc 0.3312 0.3312 0.3312
Sc 0.5000 0.1722 0.8278
Sc 0.6688 0.6688 0.6688
Sc 0.8278 0.5000 0.1722



[6]
# FeSiC2

A geometry-optimized FeSiC2 structure (PBE-GGA, Alexandria).

## Properties
Raw formation energy: 334 meV per atom
SG: Imm2

abc: 2.5116 3.0586 10.7750
angles: 90.00 90.00 90.00
Sites, in units of the cell vectors:
Fe 0.0000 0.0000 0.0000
Fe 0.5000 0.5000 0.5000
Si 0.0000 0.0000 0.6110
Si 0.5000 0.5000 0.1110
C 0.0000 0.0000 0.7905
C 0.0000 0.5000 0.3499
C 0.5000 0.0000 0.8499
C 0.5000 0.5000 0.2905



[7]
# SrZnOs2

A geometry-optimized SrZnOs2 structure (PBE-GGA, Alexandria).

## Properties
Calculated formation energy: 0.961 eV/atom
SG: Cmmm

abc: 5.8917 9.2793 2.6312
angles: 90.00 90.00 90.00
Sites, in units of the cell vectors:
Sr 0.0000 0.0000 0.0000
Sr 0.5000 0.5000 0.0000
Zn 0.0000 0.5000 0.0000
Zn 0.5000 0.0000 0.0000
Os 0.2500 0.2500 0.5000
Os 0.2500 0.7500 0.5000
Os 0.7500 0.2500 0.5000
Os 0.7500 0.7500 0.5000



[8]
# PmErSbO2

A geometry-optimized PmErSbO2 structure (PBE-GGA, Alexandria).

## Properties
Raw formation energy: -2673 meV per atom
SG: I4mm

abc: 3.8927 3.8927 13.5007
angles: 90.00 90.00 90.00
Sites, in units of the cell vectors:
Pm 0.0000 0.0000 0.0000
Pm 0.5000 0.5000 0.5000
Er 0.0000 0.0000 0.3304
Er 0.5000 0.5000 0.8304
Sb 0.0000 0.0000 0.6667
Sb 0.5000 0.5000 0.1667
O 0.0000 0.5000 0.4086
O 0.0000 0.5000 0.9086
O 0.5000 0.0000 0.4086
O 0.5000 0.0000 0.9086



[9]
# SrTl3Pb

A geometry-optimized SrTl3Pb structure (PBE-GGA, Alexandria).

## Properties
Calculated formation energy: -0.061 eV/atom
E above lowest polymorph: 113 meV per atom
SG: P6_3/mmc

abc: 7.8760 7.8760 6.6670
angles: 90.00 90.00 120.00
Sites, in units of the cell vectors:
Sr 0.3333 0.6667 0.2500
Sr 0.6667 0.3333 0.7500
Tl 0.1987 0.3973 0.7500
Tl 0.1987 0.8013 0.7500
Tl 0.3973 0.1987 0.2500
Tl 0.6027 0.8013 0.7500
Tl 0.8013 0.1987 0.2500
Tl 0.8013 0.6027 0.2500
Pb 0.0000 0.0000 0.0000
Pb 0.0000 0.0000 0.5000



[10]
# InH6PtRh2

A geometry-optimized InH6PtRh2 structure (PBE-GGA, Alexandria).

## Properties
SG: C2/c

abc: 5.6861 5.6861 6.1661
angles: 106.57 106.57 91.74
Sites, in units of the cell vectors:
In 0.2492 0.7508 0.7500
In 0.7508 0.2492 0.2500
H 0.0485 0.2872 0.0374
H 0.0494 0.6180 0.2864
H 0.2872 0.0485 0.5374
H 0.3418 0.4875 0.0712
H 0.3820 0.9506 0.2136
H 0.4875 0.3418 0.5712
H 0.5125 0.6582 0.4288
H 0.6180 0.0494 0.7864
H 0.6582 0.5125 0.9288
H 0.7128 0.9515 0.4626
H 0.9506 0.3820 0.7136
H 0.9515 0.7128 0.9626
Pt 0.0907 0.9093 0.2500
Pt 0.9093 0.0907 0.7500
Rh 0.2620 0.4093 0.3076
Rh 0.4093 0.2620 0.8076
Rh 0.5907 0.7380 0.1924
Rh 0.7380 0.5907 0.6924



[11]
# BTe2Se2

A geometry-optimized BTe2Se2 structure (PBE-GGA, Alexandria).

## Properties
E above lowest polymorph: 0 meV per atom
Raw formation energy: 515 meV per atom
SG: P4/mbm

abc: 5.9098 5.9098 9.5510
angles: 90.00 90.00 90.00
Sites, in units of the cell vectors:
B 0.0000 0.0000 0.0000
B 0.5000 0.5000 0.0000
Te 0.2500 0.2500 0.5000
Te 0.2500 0.7500 0.5000
Te 0.7500 0.2500 0.5000
Te 0.7500 0.7500 0.5000
Se 0.1716 0.3284 0.0000
Se 0.3284 0.8284 0.0000
Se 0.6716 0.1716 0.0000
Se 0.8284 0.6716 0.0000



[12]
# CdGe2S

A geometry-optimized CdGe2S structure (PBE-GGA, Alexandria).

## Properties
E above lowest polymorph: 189 meV per atom
Raw formation energy: 381 meV per atom
SG: Fm-3m

abc: 6.8487 6.8487 6.8487
angles: 90.00 90.00 90.00
Sites, in units of the cell vectors:
Cd 0.0000 0.0000 0.0000
Cd 0.0000 0.5000 0.5000
Cd 0.5000 0.0000 0.5000
Cd 0.5000 0.5000 0.0000
Ge 0.2500 0.2500 0.2500
Ge 0.2500 0.2500 0.7500
Ge 0.2500 0.7500 0.2500
Ge 0.2500 0.7500 0.7500
Ge 0.7500 0.2500 0.2500
Ge 0.7500 0.2500 0.7500
Ge 0.7500 0.7500 0.2500
Ge 0.7500 0.7500 0.7500
S 0.0000 0.0000 0.5000
S 0.0000 0.5000 0.0000
S 0.5000 0.0000 0.0000
S 0.5000 0.5000 0.5000



| no. | E_tot (eV/atom) |
| --- | --- |
| 1 | -4.459 |
| 2 | -6.614 |
| 3 | -8.272 |
| 4 | -4.863 |
| 5 | -6.049 |
| 6 | -7.750 |
| 7 | -5.393 |
| 8 | -7.343 |
| 9 | -2.559 |
| 10 | -4.351 |
| 11 | -3.471 |
| 12 | -3.189 |